VASP calculation (PBE with a Hubbard U) on a relaxed CrHgCl2F crystal.

The structure belongs to space group P4/mmm (No. 123); the cell edges are 5.147, 5.147 and 3.960 Å and the angles 90.00°, 90.00° and 90.00°. The distinct sites, in fractional coordinates, are Cr at (0.000, 0.000, 0.000), Hg at (0.500, 0.500, 0.500), Cl at (0.000, 0.500, 0.000) and F at (0.000, 0.000, 0.500).

The calculated total energy is -19.170 eV per formula unit. The value obtained for the density is 5.4 g cm⁻³. The volume comes out at 20.983 Å³ per atom. The value obtained for the total moment is 0.726 μB per atom. The crystal system is tetragonal.